A plane-wave DFT calculation with PBE+U was carried out for CrGaOsO6 after structural relaxation. Values from VASP.

Output
For the total energy, the calculation gives -127.60 eV per cell.

Cell and atoms, written as Quantum ESPRESSO input:
```
&SYSTEM
  ibrav = 0, nat = 18, ntyp = 4
/
ATOMIC_SPECIES
O 16.00 O.upf
Ga 69.72 Ga.upf
Os 190.23 Os.upf
Cr 52.00 Cr.upf
CELL_PARAMETERS angstrom
5.0376 0.0000 0.0000
-2.5188 4.3627 0.0000
0.0000 0.0000 8.6812
ATOMIC_POSITIONS crystal
O 0.3358 0.3443 0.3716
O 0.9915 0.3358 0.6284
O 0.3443 0.3358 0.8716
O 0.3443 0.0085 0.6284
O 0.6557 0.9915 0.3716
O 0.0085 0.6642 0.3716
O 0.9915 0.6557 0.8716
O 0.6557 0.6642 0.1284
O 0.6642 0.6557 0.6284
O 0.0085 0.3443 0.1284
O 0.6642 0.0085 0.8716
O 0.3358 0.9915 0.1284
Ga 0.3333 0.6667 0.7500
Ga 0.6667 0.3333 0.2500
Os 0.6667 0.3333 0.7500
Os 0.3333 0.6667 0.2500
Cr 0.0000 0.0000 0.0000
Cr 0.0000 0.0000 0.5000
```